No. 1
## BeTeI2O (GGA-PBE)

Data for an optimized crystal structure of BeTeI2O.

Results
- magnetic moment (μB/atom) = 0.00
- symmetry = No. 123
- energy relative to the lowest polymorph listed for this composition (meV/atom) = 1318
- formation energy without anion corrections (eV/atom) = 0.748
- N(E_F) (states/eV/atom) = 0.355

abc: 5.204 5.204 4.552
angles: 90.00 90.00 90.00
Element x y z (fractional)
Be (0.000, 0.000, 0.000)
Te (0.500, 0.500, 0.000)
I (0.000, 0.500, 0.500)
I (0.500, 0.000, 0.500)
O (0.500, 0.500, 0.500)

No. 2
## PmLuAgPb (GGA-PBE)

Data for an optimized crystal structure of PmLuAgPb.

Results
- magnetic moment (μB/atom) = 0.14
- E_form (eV per atom) = -0.37
- symmetry = No. 216
- N(E_F) (states/eV/atom) = 0.923

abc: 5.304 5.304 5.304
angles: 60.00 60.00 60.00
Element x y z (fractional)
Pm (0.000, 0.000, 0.000)
Lu (0.500, 0.500, 0.500)
Ag (0.250, 0.250, 0.250)
Pb (0.750, 0.750, 0.750)

No. 3
## SiSN2F (GGA-PBE)

Data for an optimized crystal structure of SiSN2F.

Results
- magnetic moment (μB/atom) = 0.00
- symmetry = No. 123
- energy relative to the lowest polymorph listed for this composition (meV/atom) = 867
- formation energy without anion corrections (eV/atom) = 1.118
- N(E_F) (states/eV/atom) = 0.450

abc: 3.617 3.617 4.228
angles: 90.00 90.00 90.00
Element x y z (fractional)
Si (0.000, 0.000, 0.000)
S (0.500, 0.500, 0.500)
N (0.000, 0.500, 0.500)
N (0.500, 0.000, 0.500)
F (0.500, 0.500, 0.000)

No. 4
## YErRh2 (GGA-PBE)

Data for an optimized crystal structure of YErRh2.

Results
- magnetic moment (μB/atom) = 0.00
- E_form (eV per atom) = -0.89
- symmetry = No. 123
- energy relative to the lowest polymorph listed for this composition (meV/atom) = 2
- N(E_F) (states/eV/atom) = 0.483

abc: 4.767 4.767 3.507
angles: 90.00 90.00 90.00
Element x y z (fractional)
Y (0.000, 0.000, 0.000)
Er (0.500, 0.500, 0.000)
Rh (0.000, 0.500, 0.500)
Rh (0.500, 0.000, 0.500)

No. 5
## LiThPtAu (GGA-PBE)

Data for an optimized crystal structure of LiThPtAu.

Results
- magnetic moment (μB/atom) = 0.00
- E_form (eV per atom) = -0.84
- symmetry = No. 8
- energy relative to the lowest polymorph listed for this composition (meV/atom) = 0
- N(E_F) (states/eV/atom) = 0.419

abc: 4.419 4.419 5.501
angles: 113.60 113.60 60.11
Element x y z (fractional)
Li (0.000, 0.000, 0.000)
Th (0.492, 0.492, 0.476)
Pt (0.718, 0.718, 0.154)
Au (0.278, 0.278, 0.835)

No. 6
## CaCoMo3 (GGA-PBE)

Data for an optimized crystal structure of CaCoMo3.

Results
- magnetic moment (μB/atom) = 0.00
- E_form (eV per atom) = 1.07
- symmetry = No. 221
- energy relative to the lowest polymorph listed for this composition (meV/atom) = 0
- N(E_F) (states/eV/atom) = 1.969

abc: 4.596 4.596 4.596
angles: 90.00 90.00 90.00
Element x y z (fractional)
Ca (0.000, 0.000, 0.000)
Co (0.500, 0.500, 0.500)
Mo (0.000, 0.500, 0.500)
Mo (0.500, 0.000, 0.500)
Mo (0.500, 0.500, 0.000)

No. 7
## DyIn5Ag (GGA-PBE)

Data for an optimized crystal structure of DyIn5Ag.

Results
- magnetic moment (μB/atom) = 0.00
- E_form (eV per atom) = -0.21
- symmetry = No. 123
- N(E_F) (states/eV/atom) = 0.336

abc: 4.818 4.818 7.574
angles: 90.00 90.00 90.00
Element x y z (fractional)
Dy (0.000, 0.000, 0.000)
In (0.000, 0.500, 0.289)
In (0.000, 0.500, 0.711)
In (0.500, 0.000, 0.289)
In (0.500, 0.000, 0.711)
In (0.500, 0.500, 0.000)
Ag (0.000, 0.000, 0.500)

No. 8
## MnNi2HW (GGA-PBE)

Data for an optimized crystal structure of MnNi2HW.

Results
- magnetic moment (μB/atom) = 0.00
- symmetry = No. 123
- energy relative to the lowest polymorph listed for this composition (meV/atom) = 0
- N(E_F) (states/eV/atom) = 0.386

abc: 3.575 3.575 3.897
angles: 90.00 90.00 90.00
Element x y z (fractional)
Mn (0.000, 0.000, 0.000)
Ni (0.000, 0.500, 0.500)
Ni (0.500, 0.000, 0.500)
H (0.000, 0.000, 0.500)
W (0.500, 0.500, 0.000)